Entry 1:
Computed, not measured: a geometry-optimized SbBrF3 structure at the PBE level of DFT. Values from VASP.

The structure in Quantum ESPRESSO input format:
```
&SYSTEM
  ibrav = 0, nat = 10, ntyp = 3
/
ATOMIC_SPECIES
Sb 121.76 Sb.upf
Br 79.90 Br.upf
F 19.00 F.upf
ATOMIC_POSITIONS crystal
Sb 0.1399 0.7738 0.7009
Sb 0.6888 0.7046 0.2008
Br 0.3918 0.1708 0.7011
Br 0.9456 0.0907 0.2008
F 0.5159 0.3995 0.2006
F 0.4530 0.7475 0.9993
F 0.9176 0.6255 0.4020
F 0.8331 0.8784 0.7005
F 0.9180 0.6260 0.9994
F 0.4526 0.7471 0.4022
CELL_PARAMETERS angstrom
-0.7806 5.3223 -0.6107
-0.8901 -1.0388 6.0802
6.6652 1.1130 1.1699
```

## Properties
- symmetry = Pm, No. 6
- energy above the lowest structure with this stoichiometry (eV per formula unit) = 0.00
- energy relative to the elements, uncorrected (eV/atom) = -1.82
- DOS(E_F) (states/eV/cell) = 0.00

---

Entry 2:
Computed, not measured: a geometry-optimized Nd2Y3Tl3 structure at the PBE level of DFT. Values from VASP.

The structure in Quantum ESPRESSO input format:
```
&SYSTEM
  ibrav = 0, nat = 8, ntyp = 3
/
ATOMIC_SPECIES
Nd 144.24 Nd.upf
Y 88.91 Y.upf
Tl 204.38 Tl.upf
ATOMIC_POSITIONS crystal
Nd 0.7387 0.2387 0.4774
Nd 0.2613 0.7613 0.5226
Y 0.6166 0.6166 0.2333
Y 0.3834 0.3834 0.7667
Y 0.5000 0.0000 0.0000
Tl 0.1236 0.1236 0.2472
Tl 0.0000 0.5000 0.0000
Tl 0.8764 0.8764 0.7528
CELL_PARAMETERS angstrom
4.4953 0.0000 0.0000
0.0000 4.9738 0.0000
-2.2476 -2.4869 10.4303
```

## Properties
- symmetry = Immm, No. 71
- energy relative to the elements (eV per atom) = -0.269
- DOS(E_F) (states/eV/cell) = 8.17

---

Entry 3:
Computed, not measured: a geometry-optimized Y5Er2Tm5 structure at the PBE level of DFT. Values from VASP.

The structure in Quantum ESPRESSO input format:
```
&SYSTEM
  ibrav = 0, nat = 12, ntyp = 3
/
ATOMIC_SPECIES
Y 88.91 Y.upf
Er 167.26 Er.upf
Tm 168.93 Tm.upf
ATOMIC_POSITIONS crystal
Y 0.5000 0.0000 0.5000
Y 0.6917 0.3834 0.0773
Y 0.7741 0.5482 0.3267
Y 0.2259 0.4518 0.6733
Y 0.3083 0.6166 0.9227
Er 0.9314 0.8629 0.7875
Er 0.0686 0.1371 0.2125
Tm 0.1463 0.2925 0.4407
Tm 0.6049 0.2099 0.8092
Tm 0.3951 0.7901 0.1908
Tm 0.8537 0.7075 0.5593
Tm 0.0000 0.0000 0.0000
CELL_PARAMETERS angstrom
-1.1301 0.5657 5.4331
-2.1975 -4.2215 -2.8812
13.1541 -5.4257 3.3012
```

## Properties
- symmetry = C2/m, No. 12
- energy relative to the elements (eV per atom) = 0.190
- energy above the lowest structure with this stoichiometry (eV per formula unit) = 1.94
- DOS(E_F) (states/eV/cell) = 20.28

---

Entry 4:
Computed, not measured: a geometry-optimized Ta2AlPt structure at the PBE level of DFT. Values from VASP.

The structure in Quantum ESPRESSO input format:
```
&SYSTEM
  ibrav = 0, nat = 4, ntyp = 3
/
ATOMIC_SPECIES
Al 26.98 Al.upf
Pt 195.08 Pt.upf
Ta 180.95 Ta.upf
ATOMIC_POSITIONS crystal
Al 0.5000 0.5000 0.5000
Pt 0.7500 0.7500 0.7500
Ta 0.0000 0.0000 0.0000
Ta 0.2500 0.2500 0.2500
CELL_PARAMETERS angstrom
4.5584 0.0000 0.0000
2.2792 3.9477 0.0000
2.2792 1.3159 3.7219
```

## Properties
- symmetry = F-43m, No. 216
- energy relative to the elements (eV per atom) = -0.173
- DOS(E_F) (states/eV/cell) = 5.93